# Ba2US6

Crystalline Ba2US6 at its relaxed geometry (GGA-PBE, OQMD).

Output
Symmetry: P4_2/nmc, No. 137
Final energy in eV/atom: -5.879
Magnetization in μB/cell: 4.0

Cell lengths 5.4483, 5.4483, 15.8507 Å; angles 90.00, 90.00, 90.00 degrees
Last column: nearest neighbours and their distance in Å.
Sites, in units of the cell vectors:
Ba: 0.5000 0.5000 0.1342  8 S 3.23-3.36
Ba: 0.0000 0.0000 0.3658  8 S 3.23-3.36
Ba: 0.0000 0.0000 0.6342  8 S 3.23-3.36
Ba: 0.5000 0.5000 0.8658  8 S 3.23-3.36
S: 0.0000 0.5000 0.0195  2 U 2.74
S: 0.1924 0.0000 0.1643  1 S 2.10
S: 0.8076 0.0000 0.1643  1 S 2.10
S: 0.3076 0.5000 0.3357  1 S 2.10
S: 0.6924 0.5000 0.3357  1 S 2.10
S: 0.5000 0.0000 0.4805  2 U 2.74
S: 0.0000 0.5000 0.5195  2 U 2.74
S: 0.5000 0.3076 0.6643  1 S 2.10
S: 0.5000 0.6924 0.6643  1 S 2.10
S: 0.0000 0.1924 0.8357  1 S 2.10
S: 0.0000 0.8076 0.8357  1 S 2.10
S: 0.5000 0.0000 0.9805  2 U 2.74
U: 0.0000 0.0000 0.0000  8 S 2.74-2.81
U: 0.5000 0.5000 0.5000  8 S 2.74-2.81